Rb2UB2S6: optimized geometry, PBE-GGA. Values from VASP.

Computed properties:
* space group: C2/m (12)
* energy relative to the elements, uncorrected: -0.911 eV per atom

```
&SYSTEM
  ibrav = 0, nat = 11, ntyp = 4
/
ATOMIC_SPECIES
Rb 85.47 Rb.upf
U 238.03 U.upf
B 10.81 B.upf
S 32.06 S.upf
CELL_PARAMETERS angstrom
5.872 -3.370 0.000
5.872 3.370 0.000
-3.941 0.000 7.367
ATOMIC_POSITIONS crystal
Rb 0.207 0.207 0.180
Rb 0.793 0.793 0.820
U 0.000 0.000 0.500
B 0.427 0.427 0.707
B 0.573 0.573 0.293
S 0.251 0.714 0.246
S 0.256 0.256 0.643
S 0.286 0.749 0.754
S 0.714 0.251 0.246
S 0.744 0.744 0.357
S 0.749 0.286 0.754
```

---

LaW3I: optimized geometry, PBE-GGA. Values from VASP.

Computed properties:
* space group: Pm-3m (221)
* E above lowest polymorph: 0 meV/atom
* energy relative to the elements, uncorrected: 2.138 eV per atom

```
&SYSTEM
  ibrav = 0, nat = 5, ntyp = 3
/
ATOMIC_SPECIES
La 138.91 La.upf
W 183.84 W.upf
I 126.90 I.upf
CELL_PARAMETERS angstrom
4.976 0.000 0.000
0.000 4.976 0.000
0.000 0.000 4.976
ATOMIC_POSITIONS crystal
La 0.000 0.000 0.000
W 0.000 0.500 0.500
W 0.500 0.000 0.500
W 0.500 0.500 0.000
I 0.500 0.500 0.500
```

---

TaRuAu2: optimized geometry, PBE-GGA. Values from VASP.

Computed properties:
* space group: Fm-3m (225)
* E above lowest polymorph: 339 meV/atom

```
&SYSTEM
  ibrav = 0, nat = 16, ntyp = 3
/
ATOMIC_SPECIES
Ta 180.95 Ta.upf
Ru 101.07 Ru.upf
Au 196.97 Au.upf
CELL_PARAMETERS angstrom
6.463 0.000 0.000
0.000 6.463 0.000
0.000 0.000 6.463
ATOMIC_POSITIONS crystal
Ta 0.000 0.000 0.000
Ta 0.000 0.500 0.500
Ta 0.500 0.000 0.500
Ta 0.500 0.500 0.000
Ru 0.000 0.000 0.500
Ru 0.000 0.500 0.000
Ru 0.500 0.000 0.000
Ru 0.500 0.500 0.500
Au 0.250 0.250 0.250
Au 0.250 0.250 0.750
Au 0.250 0.750 0.250
Au 0.250 0.750 0.750
Au 0.750 0.250 0.250
Au 0.750 0.250 0.750
Au 0.750 0.750 0.250
Au 0.750 0.750 0.750
```

---

BeIn2SnRh: optimized geometry, PBE-GGA. Values from VASP.

Computed properties:
* space group: P4/mmm (123)

```
&SYSTEM
  ibrav = 0, nat = 5, ntyp = 4
/
ATOMIC_SPECIES
Be 9.01 Be.upf
In 114.82 In.upf
Sn 118.71 Sn.upf
Rh 102.91 Rh.upf
CELL_PARAMETERS angstrom
4.649 0.000 0.000
0.000 4.649 0.000
0.000 0.000 4.887
ATOMIC_POSITIONS crystal
Be 0.000 0.000 0.000
In 0.000 0.500 0.000
In 0.500 0.000 0.000
Sn 0.000 0.000 0.500
Rh 0.500 0.500 0.500
```

---

SiWBr2: optimized geometry, PBE-GGA. Values from VASP.

Computed properties:
* space group: Cmmm (65)
* E above lowest polymorph: 733 meV/atom
* energy relative to the elements, uncorrected: 0.864 eV per atom

```
&SYSTEM
  ibrav = 0, nat = 8, ntyp = 3
/
ATOMIC_SPECIES
Si 28.09 Si.upf
W 183.84 W.upf
Br 79.90 Br.upf
CELL_PARAMETERS angstrom
3.048 0.000 0.000
0.000 5.809 0.000
0.000 0.000 9.675
ATOMIC_POSITIONS crystal
Si 0.000 0.000 0.000
Si 0.500 0.500 0.000
W 0.000 0.000 0.500
W 0.500 0.500 0.500
Br 0.000 0.500 0.282
Br 0.000 0.500 0.718
Br 0.500 0.000 0.282
Br 0.500 0.000 0.718
```

---

K3Tb3IrO8: optimized geometry, PBE-GGA. Values from VASP.

Computed properties:
* space group: R-3m (166)
* energy relative to the elements, uncorrected: -2.318 eV per atom

```
&SYSTEM
  ibrav = 0, nat = 15, ntyp = 4
/
ATOMIC_SPECIES
K 39.10 K.upf
Tb 158.93 Tb.upf
Ir 192.22 Ir.upf
O 16.00 O.upf
CELL_PARAMETERS angstrom
3.403 1.965 6.277
-3.403 1.965 6.277
0.000 -3.929 6.277
ATOMIC_POSITIONS crystal
K 0.000 0.500 0.500
K 0.500 0.000 0.500
K 0.500 0.500 0.000
Tb 0.000 0.000 0.500
Tb 0.000 0.500 0.000
Tb 0.500 0.000 0.000
Ir 0.500 0.500 0.500
O 0.228 0.228 0.228
O 0.252 0.711 0.711
O 0.289 0.289 0.748
O 0.289 0.748 0.289
O 0.711 0.252 0.711
O 0.711 0.711 0.252
O 0.748 0.289 0.289
O 0.772 0.772 0.772
```

---

Ta2AsSe: optimized geometry, PBE-GGA. Values from VASP.

Computed properties:
* space group: C2/m (12)
* E above lowest polymorph: 341 meV/atom
* energy relative to the elements, uncorrected: -0.058 eV per atom

```
&SYSTEM
  ibrav = 0, nat = 8, ntyp = 3
/
ATOMIC_SPECIES
Ta 180.95 Ta.upf
As 74.92 As.upf
Se 78.96 Se.upf
CELL_PARAMETERS angstrom
7.973 0.000 0.000
0.000 3.396 0.000
-2.051 0.000 5.765
ATOMIC_POSITIONS crystal
Ta 0.241 0.000 0.309
Ta 0.259 0.500 0.691
Ta 0.741 0.500 0.309
Ta 0.759 0.000 0.691
As 0.000 0.000 0.500
As 0.500 0.500 0.500
Se 0.000 0.500 0.000
Se 0.500 0.000 0.000
```

---

Y10In3Pb3: optimized geometry, PBE-GGA. Values from VASP.

Computed properties:
* space group: P-62m (189)

```
&SYSTEM
  ibrav = 0, nat = 16, ntyp = 3
/
ATOMIC_SPECIES
Y 88.91 Y.upf
In 114.82 In.upf
Pb 207.20 Pb.upf
CELL_PARAMETERS angstrom
9.031 0.000 0.000
-4.516 7.821 0.000
0.000 0.000 6.704
ATOMIC_POSITIONS crystal
Y 0.000 0.237 0.000
Y 0.000 0.763 0.500
Y 0.237 0.000 0.000
Y 0.237 0.237 0.500
Y 0.333 0.667 0.256
Y 0.333 0.667 0.744
Y 0.667 0.333 0.256
Y 0.667 0.333 0.744
Y 0.763 0.000 0.500
Y 0.763 0.763 0.000
In 0.000 0.399 0.500
In 0.399 0.000 0.500
In 0.601 0.601 0.500
Pb 0.000 0.601 0.000
Pb 0.399 0.399 0.000
Pb 0.601 0.000 0.000
```

---

ZnCr3Pt: optimized geometry, PBE-GGA. Values from VASP.

Computed properties:
* space group: Pm-3m (221)
* E above lowest polymorph: 429 meV/atom

```
&SYSTEM
  ibrav = 0, nat = 5, ntyp = 3
/
ATOMIC_SPECIES
Zn 65.41 Zn.upf
Cr 52.00 Cr.upf
Pt 195.08 Pt.upf
CELL_PARAMETERS angstrom
4.269 0.000 0.000
0.000 4.269 0.000
0.000 0.000 4.269
ATOMIC_POSITIONS crystal
Zn 0.000 0.000 0.000
Cr 0.000 0.000 0.500
Cr 0.000 0.500 0.000
Cr 0.500 0.000 0.000
Pt 0.500 0.500 0.500
```

---

TiTePd3: optimized geometry, PBE-GGA. Values from VASP.

Computed properties:
* space group: Pm-3m (221)
* E above lowest polymorph: 843 meV/atom
* energy relative to the elements, uncorrected: 0.539 eV per atom

```
&SYSTEM
  ibrav = 0, nat = 5, ntyp = 3
/
ATOMIC_SPECIES
Ti 47.87 Ti.upf
Te 127.60 Te.upf
Pd 106.42 Pd.upf
CELL_PARAMETERS angstrom
4.884 0.000 0.000
0.000 4.884 0.000
0.000 0.000 4.884
ATOMIC_POSITIONS crystal
Ti 0.000 0.000 0.000
Te 0.500 0.500 0.500
Pd 0.000 0.500 0.500
Pd 0.500 0.000 0.500
Pd 0.500 0.500 0.000
```

---

PrEuI: optimized geometry, PBE-GGA. Values from VASP.

Computed properties:
* space group: P3m1 (156)
* energy relative to the elements, uncorrected: -0.637 eV per atom

```
&SYSTEM
  ibrav = 0, nat = 3, ntyp = 3
/
ATOMIC_SPECIES
Pr 140.91 Pr.upf
Eu 151.96 Eu.upf
I 126.90 I.upf
CELL_PARAMETERS angstrom
4.034 0.000 0.000
-2.017 3.494 0.000
0.000 0.000 7.930
ATOMIC_POSITIONS crystal
Pr 0.000 0.000 0.000
Eu 0.333 0.667 0.628
I 0.667 0.333 0.305
```

---

NaLiLaP2: optimized geometry, PBE-GGA. Values from VASP.

Computed properties:
* space group: P4/mmm (123)

```
&SYSTEM
  ibrav = 0, nat = 5, ntyp = 4
/
ATOMIC_SPECIES
Na 22.99 Na.upf
Li 6.94 Li.upf
La 138.91 La.upf
P 30.97 P.upf
CELL_PARAMETERS angstrom
5.022 0.000 0.000
0.000 5.022 0.000
0.000 0.000 5.007
ATOMIC_POSITIONS crystal
Na 0.000 0.000 0.000
Li 0.500 0.500 0.500
La 0.000 0.000 0.500
P 0.000 0.500 0.000
P 0.500 0.000 0.000
```

---

Ordered VASP energy results: -5.579 -6.929 -6.659 -3.545 -4.566 -6.698 -8.018 -5.759 -5.664 -4.784 -6.172 -3.289; unit eV/atom.